{
  "formula": "KRb2IF6",
  "functional": "PBE",
  "state": "relaxed",
  "e_form_raw_ev_per_atom": -2.224,
  "space_group": "No. 2",
  "magnetic_moment_mub_per_fu": 0.2,
  "relative_energy_mev_per_atom": 0.0,
  "lattice_angstrom": [[-5.4063, -5.0128, -1.8218], [2.5105, -6.8292, -3.8207], [-1.7376, -7.6713, 0.9671]],
  "species": ["K", "Rb", "Rb", "I", "F", "F", "F", "F", "F", "F"],
  "frac_coords": [[0.0000, 0.0000, 0.0000], [0.2682, 0.7797, 0.4641], [0.7318, 0.2203, 0.5359], [0.5000, 0.5000, 0.0000], [0.4751, 0.8352, 0.7900], [0.8325, 0.8636, 0.9188], [0.2924, 0.4401, 0.4194], [0.5249, 0.1648, 0.2100], [0.1675, 0.1364, 0.0812], [0.7076, 0.5599, 0.5806]]
}

---

{
  "formula": "SrAgSN2",
  "functional": "PBE",
  "state": "relaxed",
  "e_form_raw_ev_per_atom": 0.769,
  "space_group": "No. 123",
  "magnetic_moment_mub_per_fu": 3.0,
  "relative_energy_mev_per_atom": 0.0,
  "lattice_angstrom": [[4.2532, 0.0000, 0.0000], [0.0000, 4.2532, 0.0000], [0.0000, 0.0000, 5.1380]],
  "species": ["Sr", "S", "Ag", "N", "N"],
  "frac_coords": [[0.5000, 0.5000, 0.5000], [0.0000, 0.0000, 0.5000], [0.0000, 0.0000, 0.0000], [0.0000, 0.5000, 0.0000], [0.5000, 0.0000, 0.0000]]
}

---

{
  "formula": "NaCd2AsIr",
  "functional": "PBE",
  "state": "relaxed",
  "space_group": "No. 123",
  "magnetic_moment_mub_per_fu": 0.0,
  "formation_enthalpy_0k_ev_per_atom": 0.004,
  "lattice_angstrom": [[5.3207, 0.0000, 0.0000], [0.0000, 5.3207, 0.0000], [0.0000, 0.0000, 4.6543]],
  "species": ["Na", "As", "Ir", "Cd", "Cd"],
  "frac_coords": [[0.5000, 0.5000, 0.5000], [0.0000, 0.0000, 0.5000], [0.0000, 0.0000, 0.0000], [0.0000, 0.5000, 0.0000], [0.5000, 0.0000, 0.0000]]
}

---

{
  "formula": "AlSbAs",
  "functional": "PBE",
  "state": "relaxed",
  "e_form_raw_ev_per_atom": 0.110,
  "space_group": "No. 156",
  "magnetic_moment_mub_per_fu": 0.0,
  "lattice_angstrom": [[3.2875, 0.0000, 0.0000], [-1.6437, 2.8470, 0.0000], [0.0000, 0.0000, 7.7240]],
  "species": ["Sb", "As", "Al"],
  "frac_coords": [[0.6667, 0.3333, 0.7278], [0.3333, 0.6667, 0.2505], [0.0000, 0.0000, 0.0217]]
}

---

{
  "formula": "Sn5Se4I",
  "functional": "PBE",
  "state": "relaxed",
  "e_form_raw_ev_per_atom": -0.347,
  "space_group": "No. 12",
  "magnetic_moment_mub_per_fu": 0.0,
  "lattice_angstrom": [[4.0911, 0.0000, 0.9345], [1.7791, 7.1504, 1.6337], [-0.1325, -0.4401, 10.0026]],
  "species": ["Sn", "Sn", "Sn", "Sn", "Sn", "Se", "Se", "Se", "Se", "I"],
  "frac_coords": [[0.2090, 0.9065, 0.6755], [0.7910, 0.0935, 0.3245], [0.3820, 0.3505, 0.8855], [0.0000, 0.5000, 0.5000], [0.6180, 0.6495, 0.1145], [0.5969, 0.2030, 0.6032], [0.2018, 0.3876, 0.2088], [0.7982, 0.6124, 0.7912], [0.4031, 0.7970, 0.3968], [0.0000, 0.0000, 0.0000]]
}

---

{
  "formula": "Tb2ScRh",
  "functional": "PBE",
  "state": "relaxed",
  "space_group": "No. 166",
  "magnetic_moment_mub_per_fu": 0.3,
  "relative_energy_mev_per_atom": 342.4,
  "formation_enthalpy_0k_ev_per_atom": -0.070,
  "lattice_angstrom": [[-2.1911, 2.2621, -1.4587], [-1.5915, -0.7998, -2.9788], [-9.0553, -3.6592, 3.7984]],
  "species": ["Sc", "Rh", "Tb", "Tb"],
  "frac_coords": [[0.0000, 0.0000, 0.0000], [0.5000, 0.5000, 0.5000], [0.1044, 0.1044, 0.6869], [0.8956, 0.8956, 0.3131]]
}

---

- What is the formula in the second record?
  SrAgSN2